Material: Li2Rh2C
Method: DFT, PBE
State: relaxed

abc: 3.966 3.966 4.158
angles: 90.00 90.00 90.00
Sites, in units of the cell vectors:
Li 0.000 0.000 0.000
Li 0.500 0.500 0.000
Rh 0.000 0.500 0.500
Rh 0.500 0.000 0.500
C 0.000 0.000 0.500

Calculated values
Calculated total energy ... -28.5 eV for the cell shown
Calculated formation energy ... -0.8 eV/f.u.
DOS(E_F) ... 0.5131 states/eV/atom

=====

Material: LiRhC2S
Method: DFT, PBE
State: relaxed

abc: 3.685 3.685 4.485
angles: 90.00 90.00 90.00
Sites, in units of the cell vectors:
Li 0.000 0.000 0.000
Rh 0.500 0.500 0.000
C 0.000 0.500 0.500
C 0.500 0.000 0.500
S 0.500 0.500 0.500

Calculated values
Calculated total energy ... -23.1 eV for the cell shown
Formation energy from raw total energies ... 8.738 eV/f.u.
DOS(E_F) ... 0.4942 states/eV/atom

=====

Material: LiScRh2C
Method: DFT, PBE
State: relaxed

abc: 4.054 4.054 4.382
angles: 90.00 90.00 90.00
Sites, in units of the cell vectors:
Li 0.000 0.000 0.000
Sc 0.500 0.500 0.000
Rh 0.000 0.500 0.500
Rh 0.500 0.000 0.500
C 0.500 0.500 0.500

Calculated values
Calculated total energy ... -33.7 eV for the cell shown
Calculated formation energy ... -1.5 eV/f.u.
Relative energy among the computed polymorphs ... 14 meV/atom
DOS(E_F) ... 0.3732 states/eV/atom

=====

Material: LiScRh2C
Method: DFT, PBE
State: relaxed

abc: 4.231 4.231 3.696
angles: 90.00 90.00 90.00
Sites, in units of the cell vectors:
Li 0.000 0.000 0.000
Sc 0.500 0.500 0.500
Rh 0.000 0.500 0.000
Rh 0.500 0.000 0.000
C 0.000 0.000 0.500

Calculated values
Calculated total energy ... -29.0 eV for the cell shown
Calculated formation energy ... 3.2 eV/f.u.
Relative energy among the computed polymorphs ... 946 meV/atom
DOS(E_F) ... 0.3610 states/eV/atom

=====

Material: LiScRh2C
Method: DFT, PBE
State: relaxed

abc: 4.578 4.578 4.798
angles: 90.00 90.00 90.00
Sites, in units of the cell vectors:
Li 0.000 0.000 0.000
Sc 0.000 0.000 0.500
Rh 0.000 0.500 0.500
Rh 0.500 0.000 0.500
C 0.500 0.500 0.000

Calculated values
Calculated total energy ... -22.4 eV for the cell shown
Calculated formation energy ... 9.8 eV/f.u.
Relative energy among the computed polymorphs ... 2263 meV/atom
DOS(E_F) ... 0.6131 states/eV/atom

=====

Material: LiScRh2C
Method: DFT, PBE
State: relaxed

abc: 4.058 4.058 4.123
angles: 90.00 90.00 90.00
Sites, in units of the cell vectors:
Li 0.000 0.000 0.000
Sc 0.500 0.500 0.000
Rh 0.000 0.500 0.500
Rh 0.500 0.000 0.500
C 0.000 0.000 0.500

Calculated values
Calculated total energy ... -33.7 eV for the cell shown
Calculated formation energy ... -1.6 eV/f.u.
Relative energy among the computed polymorphs ... 0 meV/atom
DOS(E_F) ... 0.6482 states/eV/atom

=====

Material: SrLiRh2C
Method: DFT, PBE
State: relaxed

abc: 4.143 4.143 4.553
angles: 90.00 90.00 90.00
Sites, in units of the cell vectors:
Sr 0.000 0.000 0.000
Li 0.500 0.500 0.000
Rh 0.000 0.500 0.500
Rh 0.500 0.000 0.500
C 0.500 0.500 0.500

Calculated values
Calculated total energy ... -28.2 eV for the cell shown
Calculated formation energy ... -0.7 eV/f.u.
DOS(E_F) ... 0.3520 states/eV/atom

=====

Material: SrLi2Rh2C
Method: DFT, PBE
State: relaxed

abc: 4.086 4.086 5.948
angles: 90.00 90.00 90.00
Sites, in units of the cell vectors:
Sr 0.000 0.000 0.000
Li 0.500 0.500 0.251
Li 0.500 0.500 0.749
Rh 0.000 0.500 0.500
Rh 0.500 0.000 0.500
C 0.000 0.000 0.500

Calculated values
Calculated total energy ... -30.3 eV for the cell shown
Calculated formation energy ... -0.9 eV/f.u.
DOS(E_F) ... 0.3143 states/eV/atom

=====

Material: Sr2LiRhC
Method: DFT, PBE
State: relaxed

abc: 5.569 5.569 3.927
angles: 90.00 90.00 90.00
Sites, in units of the cell vectors:
Sr 0.000 0.500 0.000
Sr 0.500 0.000 0.000
Li 0.000 0.000 0.500
Rh 0.500 0.500 0.500
C 0.500 0.500 0.000

Calculated values
Calculated total energy ... -22.0 eV for the cell shown
Calculated formation energy ... -0.1 eV/f.u.
DOS(E_F) ... 0.5458 states/eV/atom

=====

Material: Li2Tl2Rh4C
Method: DFT, PBE
State: relaxed

abc: 5.748 5.748 5.748
angles: 119.97 119.97 90.05
Sites, in units of the cell vectors:
Li 0.228 0.228 0.000
Li 0.772 0.772 0.000
Tl 0.250 0.750 0.500
Tl 0.750 0.250 0.500
Rh 0.255 0.255 0.510
Rh 0.255 0.745 0.000
Rh 0.745 0.255 0.000
Rh 0.745 0.745 0.490
C 0.500 0.500 0.000

Calculated values
Calculated total energy ... -48.2 eV for the cell shown
Calculated formation energy ... -1.0 eV/f.u.
DOS(E_F) ... 0.4598 states/eV/atom

=====

Material: LiTlRh2C
Method: DFT, PBE
State: relaxed

abc: 4.049 4.049 4.343
angles: 90.00 90.00 90.00
Sites, in units of the cell vectors:
Li 0.000 0.000 0.000
Tl 0.500 0.500 0.000
Rh 0.000 0.500 0.500
Rh 0.500 0.000 0.500
C 0.000 0.000 0.500

Calculated values
Calculated total energy ... -28.3 eV for the cell shown
Calculated formation energy ... -0.1 eV/f.u.
DOS(E_F) ... 0.4320 states/eV/atom

=====

Material: LiY2RhC
Method: DFT, PBE
State: relaxed

abc: 5.003 5.003 3.926
angles: 90.00 90.00 90.00
Sites, in units of the cell vectors:
Li 0.000 0.000 0.000
Y 0.000 0.500 0.500
Y 0.500 0.000 0.500
Rh 0.500 0.500 0.000
C 0.500 0.500 0.500

Calculated values
Calculated total energy ... -33.1 eV for the cell shown
Calculated formation energy ... -1.7 eV/f.u.
DOS(E_F) ... 0.4986 states/eV/atom